No. 1
K2TlIrCl6: optimized geometry, PBE.

Unit cell a=7.0663 b=10.6372 c=8.3837 alpha=90.00 beta=90.00 gamma=90.00
Closest atoms and distances in Å follow each position.
Space group Pmmn (No. 59, origin choice 2)
Asymmetric unit:
K (0.2500, 0.0444, 0.1772)  7 Cl 3.19-3.54
Tl (0.2500, 0.2500, 0.6823)  6 Cl 3.06-3.19
Ir (0.2500, 0.7500, 0.8066)  6 Cl 2.37-2.38
Cl (0.0093, 0.7500, 0.6094)  1 Ir 2.37
Cl (0.0166, 0.7500, 0.0108)  1 Ir 2.38
Cl (0.2500, 0.5269, 0.8070)  1 Ir 2.37

No. 2
KYIrCl2: optimized geometry, PBE.

Unit cell a=5.5537 b=5.5537 c=5.0303 alpha=90.00 beta=90.00 gamma=90.00
Closest atoms and distances in Å follow each position.
Space group P4/mmm (No. 123)
Asymmetric unit:
K (0.0000, 0.0000, 0.0000)  8 Cl 3.75, 4 Y 3.93
Y (0.5000, 0.5000, 0.0000)  2 Ir 2.52
Ir (0.5000, 0.5000, 0.5000)  2 Y 2.52, 4 Cl 2.78
Cl (0.0000, 0.5000, 0.5000)  2 Ir 2.78

No. 3
LaIr2Cl: optimized geometry, PBE.

Summary:
energy above the lowest structure with this stoichiometry	90.4	meV/atom

Unit cell a=3.5494 b=3.5494 c=8.1628 alpha=90.00 beta=90.00 gamma=90.00
Closest atoms and distances in Å follow each position.
Space group P4mm (No. 99)
Asymmetric unit:
La (0.0000, 0.0000, 0.0000)  1 Ir 2.68
Ir (0.0000, 0.0000, 0.6717)  4 Ir 2.58, 1 La 2.68
Ir (0.5000, 0.5000, 0.7426)  4 Ir 2.58
Cl (0.5000, 0.5000, 0.2024)  4 La 3.00

No. 4
La4IrCl: optimized geometry, PBE.

Unit cell a=8.7839 b=8.7839 c=8.7839 alpha=90.00 beta=90.00 gamma=90.00
Closest atoms and distances in Å follow each position.
Space group F-43m (No. 216)
Asymmetric unit:
La (0.1253, 0.1253, 0.1253)  6 La 3.10-3.11
Ir (0.0000, 0.0000, 0.5000)  12 La 3.64, 4 Cl 3.80
Cl (0.2500, 0.2500, 0.7500)  12 La 3.64, 4 Ir 3.80

No. 5
LaIr2Cl: optimized geometry, PBE.

Summary:
energy above the lowest structure with this stoichiometry	457.1	meV/atom

Unit cell a=5.4290 b=11.6998 c=3.0823 alpha=90.00 beta=124.14 gamma=90.00
Closest atoms and distances in Å follow each position.
Space group C2/m (No. 12)
Asymmetric unit:
La (0.0000, 0.0000, 0.0000)  4 Cl 2.71-2.73
Ir (0.2500, 0.2500, 0.5000)  4 Ir 2.71-2.73
Cl (0.0000, 0.5000, 0.0000)  4 La 2.71-2.73

No. 6
LaIr2Cl: optimized geometry, PBE.

Summary:
energy above the lowest structure with this stoichiometry	359.9	meV/atom

Unit cell a=4.3067 b=5.5734 c=7.7108 alpha=90.00 beta=90.00 gamma=90.00
Closest atoms and distances in Å follow each position.
Space group Imm2 (No. 44)
Asymmetric unit:
La (0.0000, 0.0000, 0.0000)  4 Cl 3.04-3.27, 5 Ir 3.13-3.38
Ir (0.0000, 0.0000, 0.5613)  2 Ir 2.35
Ir (0.0000, 0.5000, 0.1849)  2 Ir 2.35
Cl (0.0000, 0.5000, 0.7779)  4 La 3.04-3.27, 5 Ir 3.07-3.25

No. 7
LaIr2Cl: optimized geometry, PBE.

Summary:
energy above the lowest structure with this stoichiometry	335.2	meV/atom

Unit cell a=3.8196 b=3.8196 c=5.6127 alpha=90.00 beta=90.00 gamma=90.00
Closest atoms and distances in Å follow each position.
Space group P4/mmm (No. 123)
Asymmetric unit:
La (0.0000, 0.0000, 0.0000)  4 Cl 2.70
Ir (0.0000, 0.5000, 0.5000)  4 Ir 2.70
Cl (0.5000, 0.5000, 0.0000)  4 La 2.70

No. 8
La2Ir2Cl: optimized geometry, PBE.

Summary:
energy above the lowest structure with this stoichiometry	153.0	meV/atom

Unit cell a=8.0462 b=8.0462 c=3.8212 alpha=90.00 beta=90.00 gamma=90.00
Closest atoms and distances in Å follow each position.
Space group P4/mbm (No. 127)
Asymmetric unit:
La (0.1869, 0.3131, 0.0000)  2 Cl 2.93, 6 Ir 2.98-3.13
Ir (0.1120, 0.6120, 0.5000)  1 Ir 2.55
Cl (0.0000, 0.0000, 0.0000)  4 La 2.93

no.,ρ (g/cm³),energy (eV per cell)
1,3.623,-72.3
2,4.186,-21.1
3,9.023,-26.6
4,7.677,-113.4
5,11.452,-50.3
6,10.027,-51.1
7,11.332,-25.7
8,9.366,-66.5